1.
Compound: Ni2Mo
Source: Alexandria
Functional: PBE
Structure: relaxed

The crystal system is orthorhombic. For the magnetic moment, the calculation gives 0.00 μB per atom. Its total energy is -7.552 eV/atom. The energy above the most stable polymorph in this dataset is 0.2 kJ per mole of atoms. Its density of states at the Fermi level is 4.76 states/eV/cell.

It has space group Immm (No. 71), with a = 2.623 Å, b = 3.671 Å, c = 7.728 Å, α = 90.00°, β = 90.00° and γ = 90.00°. The inequivalent atoms are Ni at (0.000, 0.000, 0.169) and Mo at (0.000, 0.000, 0.500).



2.
Compound: NiMo
Source: Alexandria
Functional: PBE
Structure: relaxed

The crystal system is tetragonal. For the magnetic moment, the calculation gives 0.00 μB per atom. Its total energy is -8.288 eV/atom. Its density of states at the Fermi level is 2.62 states/eV/cell.

It has space group P4/mmm (No. 123), with a = 2.650 Å, b = 2.650 Å, c = 3.790 Å, α = 90.00°, β = 90.00° and γ = 90.00°. The inequivalent atoms are Ni at (0.000, 0.000, 0.000) and Mo at (0.500, 0.500, 0.500).



3.
Compound: Ni5Mo
Source: Alexandria
Functional: PBE
Structure: relaxed

The crystal system is orthorhombic. For the magnetic moment, the calculation gives 0.00 μB per atom. Its total energy is -6.668 eV/atom. Its density of states at the Fermi level is 12.12 states/eV/cell.

It has space group Cmmm (No. 65), with a = 3.604 Å, b = 10.690 Å, c = 3.616 Å, α = 90.00°, β = 90.00° and γ = 90.00°. The inequivalent atoms are Ni at (0.000, 0.000, 0.000), Ni at (0.000, 0.164, 0.500), Ni at (0.000, 0.332, 0.000) and Mo at (0.000, 0.500, 0.500).



4.
Compound: NiMo4
Source: Alexandria
Functional: PBE
Structure: relaxed

The crystal system is cubic. For the magnetic moment, the calculation gives 0.00 μB per atom. Its total energy is -8.706 eV/atom. The energy above the most stable polymorph in this dataset is 93.8 kJ per mole of atoms. Its density of states at the Fermi level is 9.19 states/eV/cell.

It has space group Im-3m (No. 229), with a = 5.577 Å, b = 5.577 Å, c = 5.577 Å, α = 90.00°, β = 90.00° and γ = 90.00°. The inequivalent atoms are Ni at (0.000, 0.000, 0.000) and Mo at (0.250, 0.250, 0.250).



5.
Compound: Ni3Mo4
Source: Alexandria
Functional: PBE
Structure: relaxed

The crystal system is tetragonal. For the magnetic moment, the calculation gives 0.00 μB per atom. Its total energy is -8.532 eV/atom. The energy above the most stable polymorph in this dataset is 13.0 kJ per mole of atoms. Its density of states at the Fermi level is 24.34 states/eV/cell.

It has space group I4/mmm (No. 139), with a = 3.172 Å, b = 3.172 Å, c = 19.357 Å, α = 90.00°, β = 90.00° and γ = 90.00°. The inequivalent atoms are Ni at (0.000, 0.000, 0.000), Ni at (0.000, 0.000, 0.281), Mo at (0.000, 0.000, 0.148) and Mo at (0.000, 0.000, 0.427).



6.
Compound: NiMo
Source: Alexandria
Functional: PBE
Structure: relaxed

The crystal system is cubic. For the magnetic moment, the calculation gives 0.00 μB per atom. Its total energy is -8.072 eV/atom. Its density of states at the Fermi level is 11.63 states/eV/cell.

It has space group P2_13 (No. 198), with a = 4.787 Å, b = 4.787 Å, c = 4.787 Å, α = 90.00°, β = 90.00° and γ = 90.00°. The inequivalent atoms are Ni at (0.100, 0.100, 0.100) and Mo at (0.098, 0.598, 0.902).



The following energy of formation from the pure elements values (in kcal/mol of atoms) correspond, in order, to the records above: -2.02, 0.42, -1.05, 25.72, 3.12, 5.39.